Te2AsIO: relaxed, PBE.

```
Te2AsIO
1.0
5.457 0.000 0.000
0.000 5.457 0.000
0.000 0.000 5.462
Te As I O
2 1 1 1
Direct
0.000 0.500 0.000
0.500 0.000 0.000
0.000 0.000 0.000
0.000 0.000 0.500
0.500 0.500 0.500
```

D(E_F) ... 10.9 states/eV/f.u.
Calculated volume ... 32.53 Å³/atom
Formation energy without anion corrections ... 1.04 eV per atom
Theoretical density ... 4.83 g/cm³
Symmetry ... No. 123
Energy above the most stable polymorph in this dataset ... 0.669 eV per atom

MgBOs3: relaxed, PBE.

```
MgBOs3
1.0
4.120 0.000 0.000
0.000 4.120 0.000
0.000 0.000 4.120
Mg B Os
1 1 3
Direct
0.000 0.000 0.000
0.500 0.500 0.500
0.000 0.500 0.500
0.500 0.000 0.500
0.500 0.500 0.000
```

D(E_F) ... 6.2 states/eV/f.u.
Calculated volume ... 13.99 Å³/atom
Formation energy from the elements ... 280 meV/atom
Theoretical density ... 14.38 g/cm³
Symmetry ... No. 221
Energy above the most stable polymorph in this dataset ... 0.000 eV per atom

YZn2SnAu: relaxed, PBE.

```
YZn2SnAu
1.0
4.852 0.000 0.000
0.000 4.852 0.000
0.000 0.000 5.555
Y Zn Sn Au
1 2 1 1
Direct
0.000 0.000 0.000
0.000 0.500 0.500
0.500 0.000 0.500
0.500 0.500 0.000
0.000 0.000 0.500
```

D(E_F) ... 1.9 states/eV/f.u.
Calculated volume ... 26.15 Å³/atom
Formation energy from the elements ... -77 meV/atom
Theoretical density ... 6.80 g/cm³
Symmetry ... No. 123